Below is a relaxed structure of V2HgGeO8, with properties calculated at the GGA+U level.

Unit cell a=5.5837 b=5.5837 c=6.2080 alpha=90.00 beta=90.00 gamma=120.00
Space group P-3m1 (No. 164)
Symmetry-distinct sites (fractional):
1 V 0.3333 0.6667 0.2324 (multiplicity 2)
2 Hg 0.0000 0.0000 0.0000 (multiplicity 1)
3 Ge 0.0000 0.0000 0.5000 (multiplicity 1)
4 O 0.1554 0.3109 0.3126 (multiplicity 6)
5 O 0.3333 0.6667 0.9690 (multiplicity 2)

## Properties
- magnetization (μB/cell) = 0.0
- calculated volume (Å³ per atom) = 13.968
- calculated total energy (eV per atom) = -6.392